(1)
This record from the Alexandria database describes a relaxed structure of AcN2Cl2. The functional is PBE.

Properties
The mass density comes out at 4.15 g/cm3. The raw formation energy is -1.37 eV per atom. Its final energy is -31.29 eV/f.u. As for the volume: 130.3 Å³/f.u.

The structure in POSCAR format:
```
AcN2Cl2
1.0
4.968 0.000 0.000
-1.293 7.067 0.000
-1.445 -2.821 7.424
Ac N Cl
2 4 4
Direct
0.122 0.184 0.307
0.878 0.816 0.693
0.289 0.056 0.574
0.427 0.983 0.655
0.573 0.017 0.345
0.711 0.944 0.426
0.039 0.225 0.956
0.306 0.545 0.663
0.694 0.455 0.337
0.961 0.775 0.044
```


(2)
This record from the Alexandria database describes a relaxed structure of Pm2PuRhN4. The functional is PBE.

Properties
The mass density comes out at 9.68 g/cm3. The raw formation energy is -0.80 eV per atom. Its final energy is -70.92 eV/f.u. As for the volume: 118.9 Å³/f.u.

The structure in POSCAR format:
```
Pm2PuRhN4
1.0
1.697 -5.862 0.000
1.697 5.862 0.000
0.000 0.000 11.954
Pm Pu Rh N
4 2 2 8
Direct
0.130 0.870 0.551
0.130 0.870 0.949
0.870 0.130 0.051
0.870 0.130 0.449
0.385 0.615 0.750
0.615 0.385 0.250
0.352 0.648 0.250
0.648 0.352 0.750
0.035 0.965 0.750
0.216 0.784 0.138
0.216 0.784 0.362
0.500 0.500 0.000
0.500 0.500 0.500
0.784 0.216 0.638
0.784 0.216 0.862
0.965 0.035 0.250
```